No. 1
DFT (GGA-PBE) results for Dy5IrRh2 after structural relaxation.

The structure in CIF format:
```
data_Dy5IrRh2
_cell_length_a 7.311
_cell_length_b 7.311
_cell_length_c 8.707
_cell_angle_alpha 114.82
_cell_angle_beta 114.82
_cell_angle_gamma 90.00
_space_group_name_H-M_alt 'P 1'
_space_group_IT_number 1
_space_group_name_Hall 'P 1'
loop_
_atom_site_label
_atom_site_type_symbol
_atom_site_fract_x
_atom_site_fract_y
_atom_site_fract_z
Dy1 Dy 0.682 0.182 0.712
Dy2 Dy 0.818 0.970 0.288
Dy3 Dy 0.000 0.000 0.000
Rh1 Rh 0.869 0.631 0.000
Dy4 Dy 0.530 0.682 0.712
Rh2 Rh 0.631 0.131 0.000
Dy5 Dy 0.970 0.470 0.288
Ir1 Ir 0.750 0.750 0.500
Rh3 Rh 0.131 0.369 0.000
Dy6 Dy 0.470 0.318 0.288
Dy7 Dy 0.318 0.818 0.288
Dy8 Dy 0.030 0.530 0.712
Dy9 Dy 0.182 0.030 0.712
Ir2 Ir 0.250 0.250 0.500
Dy10 Dy 0.500 0.500 0.000
Rh4 Rh 0.369 0.869 0.000
```

Results
SG: No. 140
Volume: 23.4 Å³ per atom
Uncorrected energy: -104.85 eV for the cell shown
DFT formation energy: -731 meV/atom

No. 2
DFT (GGA-PBE) results for Nd2AlTc after structural relaxation.

The structure in CIF format:
```
data_Nd2AlTc
_cell_length_a 3.242
_cell_length_b 3.242
_cell_length_c 10.904
_cell_angle_alpha 81.45
_cell_angle_beta 81.45
_cell_angle_gamma 60.00
_space_group_name_H-M_alt 'P 1'
_space_group_IT_number 1
_space_group_name_Hall 'P 1'
loop_
_atom_site_label
_atom_site_type_symbol
_atom_site_fract_x
_atom_site_fract_y
_atom_site_fract_z
Tc1 Tc 0.000 0.000 0.000
Nd1 Nd 0.085 0.085 0.746
Al1 Al 0.500 0.500 0.500
Nd2 Nd 0.915 0.915 0.254
```

Results
SG: No. 166
Volume: 24.4 Å³ per atom
Uncorrected energy: -21.14 eV for the cell shown
DFT formation energy: 626 meV/atom